# 1
Below is LiIrSCl2 after structural relaxation, with properties calculated at the GGA-PBEsol level.

a b c (Å): 4.198 4.198 4.722
angles (deg): 90.00 90.00 90.00
Space group P4/mmm (No. 123)
Inequivalent atoms, fractional coordinates:
Li1 0.000 0.000 0.000 x1
Ir1 0.500 0.500 0.500 x1
S1 0.000 0.000 0.500 x1
Cl1 0.000 0.500 0.000 x2

Computed properties:
- Energy: -16.9 eV per cell
- Crystal system: tetragonal
- Density of states at the Fermi level: 5.5 states/eV/f.u.
- Formation energy without anion corrections: 0.655 eV per atom



# 2
Below is MnIn2W after structural relaxation, with properties calculated at the GGA-PBEsol level.

a b c (Å): 9.426 2.912 5.213
angles (deg): 90.00 101.06 90.00
Space group C2/m (No. 12)
Inequivalent atoms, fractional coordinates:
Mn1 0.000 0.000 0.000 x2
In1 0.247 0.500 0.249 x4
W1 0.000 0.500 0.500 x2

Computed properties:
- Energy: -54.6 eV per cell
- ΔE_f: 557 meV/atom
- Crystal system: monoclinic
- Density of states at the Fermi level: 2.5 states/eV/f.u.
- Relative energy among the computed polymorphs: 71.1 meV per atom



| no. | spin magnetization (μB per cell) |
| --- | --- |
| 1 | 2.41 |
| 2 | 6.70 |